{"formula": "Pm2VO5", "functional": "GGA+U", "state": "optimized geometry", "crystal_system": "monoclinic", "energy_ev_per_atom": -8.14, "n_ef_per_ev_fu": 0.000, "sg": "C2/c", "lattice": [[-6.421, 0.536, -2.943], [-5.982, -4.881, 3.640], [-6.044, 5.622, 5.686]], "species": ["O", "O", "O", "O", "O", "O", "O", "O", "O", "O", "O", "O", "O", "O", "O", "O", "O", "O", "O", "O", "V", "V", "V", "V", "Pm", "Pm", "Pm", "Pm", "Pm", "Pm", "Pm", "Pm"], "fractional_positions": [[0.932, 0.515, 0.647], [0.094, 0.985, 0.853], [0.619, 0.864, 0.100], [0.724, 0.958, 0.453], [0.192, 0.916, 0.309], [0.068, 0.485, 0.353], [0.808, 0.084, 0.691], [0.417, 0.584, 0.191], [0.906, 0.015, 0.147], [0.583, 0.416, 0.809], [0.418, 0.364, 0.600], [0.864, 0.458, 0.953], [0.851, 0.276, 0.335], [0.539, 0.776, 0.835], [0.136, 0.542, 0.047], [0.582, 0.636, 0.400], [0.381, 0.136, 0.900], [0.276, 0.042, 0.547], [0.149, 0.724, 0.665], [0.461, 0.224, 0.165], [0.089, 0.940, 0.691], [0.280, 0.440, 0.191], [0.911, 0.060, 0.309], [0.720, 0.560, 0.809], [0.498, 0.062, 0.666], [0.709, 0.109, 0.957], [0.774, 0.562, 0.166], [0.226, 0.438, 0.834], [0.502, 0.938, 0.334], [0.226, 0.609, 0.457], [0.291, 0.891, 0.043], [0.774, 0.391, 0.543]]}